1.
Compound: Ag7TeSe2F2
Source: Alexandria
Functional: PBE
Structure: relaxed

abc: 3.9437 6.4977 10.7671
angles: 107.56 100.55 90.00
Fractional positions:
Ag  0.3941  0.9420  0.7882
Ag  0.8009  0.6181  0.6018
Ag  0.0791  0.4632  0.1582
Ag  0.6059  0.1538  0.2118
Ag  0.1991  0.0164  0.3982
Ag  0.9209  0.3050  0.8418
Ag  0.5000  0.6677  0.0000
Te  0.0000  0.0372  0.0000
Se  0.3702  0.4773  0.7403
Se  0.6298  0.7370  0.2597
F  0.2791  0.8201  0.5582
F  0.7209  0.2619  0.4418

Values from the calculation:
E_form (uncorrected) = -345 meV per atom
Space-group type = No. 44

---

2.
Compound: TiAgSe2F
Source: Alexandria
Functional: PBE
Structure: relaxed

abc: 4.8759 4.1087 4.8759
angles: 90.00 90.00 90.00
Fractional positions:
F  0.0000  0.0000  0.0000
Se  0.0000  0.0000  0.5000
Se  0.5000  0.0000  0.0000
Ag  0.0000  0.5000  0.0000
Ti  0.5000  0.5000  0.5000

Values from the calculation:
E_form (uncorrected) = 109 meV per atom
Space-group type = No. 123

---

We obtain DFT total energy values of -37.948 -19.042 eV per formula unit for the records listed above, in that order.